A plane-wave DFT calculation with PBE was carried out for an optimized crystal structure of Ca2Tc.

## Properties
Theoretical density in g/cm3: 3.7
DOS at the Fermi energy in states/eV per atom: 1.337
DFT total energy in eV/atom: -4.43
Offset from the most stable computed form in eV/f.u.: 0.36

abc: 7.705 7.705 5.319
angles: 90.00 90.00 90.00
Space group I4/mcm (No. 140)
One atom of each set of equivalent atoms:
Ca 0.170 0.330 0.000 [8 per cell]
Tc 0.000 0.000 0.250 [4 per cell]

---

A plane-wave DFT calculation with PBE was carried out for an optimized crystal structure of CaTc2.

## Properties
Theoretical density in g/cm3: 7.5
DOS at the Fermi energy in states/eV per atom: 0.922
DFT total energy in eV/atom: -6.99
Offset from the most stable computed form in eV/f.u.: 1.00

abc: 4.6362 4.6362 2.8112
angles: 90.00 90.00 120.00
Space group P-3m1 (No. 164)
One atom of each set of equivalent atoms:
Ca 0.0000 0.0000 0.0000 [1 per cell]
Tc 0.3333 0.6667 0.3854 [2 per cell]

---

A plane-wave DFT calculation with PBE was carried out for an optimized crystal structure of CaTc3.

## Properties
Theoretical density in g/cm3: 8.2
DOS at the Fermi energy in states/eV per atom: 0.981
DFT total energy in eV/atom: -7.80
Offset from the most stable computed form in eV/f.u.: 0.48

abc: 3.072 4.792 9.231
angles: 90.00 90.00 90.00
Space group Immm (No. 71)
One atom of each set of equivalent atoms:
Ca 0.000 0.000 0.000 [2 per cell]
Tc 0.000 0.000 0.500 [2 per cell]
Tc 0.000 0.500 0.224 [4 per cell]